# 1
The following is a PBE calculation of a geometry-optimized TeRuRh3 structure, from the Alexandria database.

Cell: 4.6987 4.6987 4.6987 Å, 90.00 90.00 90.00°
Last column: nearest neighbours and their distance in Å.
Element x y z (fractional)
Te1 0.0000 0.0000 0.0000  12 Rh 3.32
Ru1 0.5000 0.5000 0.5000  6 Rh 2.35
Rh1 0.0000 0.5000 0.5000  2 Ru 2.35
Rh2 0.5000 0.0000 0.5000  2 Ru 2.35
Rh3 0.5000 0.5000 0.0000  2 Ru 2.35

Calculated values
formation energy (no corrections) = 110.01 kJ/mol of atoms
space group = No. 221
final energy = -28.8 eV per cell


# 2
The following is a PBE calculation of a geometry-optimized Si3C structure, from the Alexandria database.

Cell: 4.7099 4.7099 4.7099 Å, 145.76 68.45 122.73°
Last column: nearest neighbours and their distance in Å.
Element x y z (fractional)
Si1 0.0000 0.0000 0.0000  2 C 2.08
Si2 0.3256 0.4995 0.8261  2 C 2.06
Si3 0.6734 0.4995 0.1739  2 C 2.06
C1 0.3437 0.8437 0.5000  6 Si 2.06-2.08

Calculated values
formation energy (no corrections) = 75.84 kJ/mol of atoms
space group = No. 44
final energy = -22.3 eV per cell


# 3
The following is a PBE calculation of a geometry-optimized YBe2Au8 structure, from the Alexandria database.

Cell: 6.9594 6.9594 4.4636 Å, 99.97 99.97 109.96°
Last column: nearest neighbours and their distance in Å.
Element x y z (fractional)
Y1 0.0000 0.0000 0.0000  12 Au 2.92-3.12
Be1 0.3237 0.6763 0.5000  6 Au 2.36-2.60
Be2 0.6763 0.3237 0.5000  6 Au 2.36-2.60
Au1 0.0570 0.3281 0.5923  2 Be 2.60-2.65, 1 Au 2.85
Au2 0.2576 0.7424 0.0000  2 Be 2.36
Au3 0.3281 0.0570 0.5923  2 Be 2.60-2.65, 1 Au 2.85
Au4 0.3833 0.3833 0.1859  2 Be 2.47
Au5 0.6167 0.6167 0.8141  2 Be 2.47
Au6 0.6719 0.9430 0.4077  2 Be 2.60-2.65, 1 Au 2.85
Au7 0.7424 0.2576 0.0000  2 Be 2.36
Au8 0.9430 0.6719 0.4077  2 Be 2.60-2.65, 1 Au 2.85

Calculated values
calculated formation energy = -0.2768 eV per atom
space group = No. 12
final energy = -43.2 eV per cell


# 4
The following is a PBE calculation of a geometry-optimized LiAgTe3 structure, from the Alexandria database.

Cell: 5.1263 5.1263 5.1263 Å, 90.00 90.00 90.00°
Last column: nearest neighbours and their distance in Å.
Element x y z (fractional)
Li1 0.0000 0.0000 0.0000  6 Te 2.56
Ag1 0.5000 0.5000 0.5000  12 Te 3.62
Te1 0.0000 0.0000 0.5000  2 Li 2.56
Te2 0.0000 0.5000 0.0000  2 Li 2.56
Te3 0.5000 0.0000 0.0000  2 Li 2.56

Calculated values
formation energy (no corrections) = 29.37 kJ/mol of atoms
space group = No. 221
final energy = -12.7 eV per cell